Record 1
16
Lattice="7.0332 0.0000 0.0000 0.0000 7.0332 0.0000 0.0000 0.0000 7.0332" Properties=species:S:1:pos:R:3 comment="CaMg2W, optimized geometry, DFT GGA-PBEsol" e_above_lowest_polymorph_mev_per_atom=375.0 e_tot_ry_per_atom=-0.29356 spacegroup="F-43m, No. 216" ef_ev_per_atom=0.850 dos_at_fermi_per_ev_cell=13.04 pbc="T T T"
Ca 0.0000 0.0000 0.0000
Ca 0.0000 3.5166 3.5166
Ca 3.5166 0.0000 3.5166
Ca 3.5166 3.5166 0.0000
Mg 0.0000 0.0000 3.5166
Mg 0.0000 3.5166 0.0000
Mg 1.7583 1.7583 5.2749
Mg 1.7583 5.2749 1.7583
Mg 3.5166 0.0000 0.0000
Mg 3.5166 3.5166 3.5166
Mg 5.2749 1.7583 1.7583
Mg 5.2749 5.2749 5.2749
W 1.7583 1.7583 1.7583
W 1.7583 5.2749 5.2749
W 5.2749 1.7583 5.2749
W 5.2749 5.2749 1.7583

***

Record 2
12
Lattice="3.0322 0.0000 0.0000 -1.5161 2.6259 0.0000 0.0000 0.0000 31.4450" Properties=species:S:1:pos:R:3 comment="CaMg2W, optimized geometry, DFT GGA-PBEsol" e_above_lowest_polymorph_mev_per_atom=100.0 e_tot_ry_per_atom=-0.31378 spacegroup="R-3m, No. 166" ef_ev_per_atom=0.575 dos_at_fermi_per_ev_cell=8.12 pbc="T T T"
Ca 0.0000 0.0000 0.0000
Ca 0.0000 1.7506 20.9633
Ca 1.5161 0.8753 10.4816
Mg 0.0000 0.0000 7.5601
Mg 0.0000 0.0000 23.8849
Mg 0.0000 1.7506 13.4032
Mg 0.0000 1.7506 28.5235
Mg 1.5161 0.8753 2.9215
Mg 1.5161 0.8753 18.0418
W 0.0000 0.0000 15.7225
W 0.0000 1.7506 5.2408
W 1.5161 0.8753 26.2041

***

Record 3
8
Lattice="6.3096 0.0000 0.0000 0.0000 8.7211 0.0000 0.0000 0.0000 2.9420" Properties=species:S:1:pos:R:3 comment="CaMg2W, optimized geometry, DFT GGA-PBEsol" e_above_lowest_polymorph_mev_per_atom=166.0 e_tot_ry_per_atom=-0.30892 spacegroup="Cmmm, No. 65" ef_ev_per_atom=0.641 dos_at_fermi_per_ev_cell=5.17 pbc="T T T"
Ca 0.0000 0.0000 0.0000
Ca 3.1548 4.3606 0.0000
Mg 1.5774 2.1803 1.4710
Mg 1.5774 6.5409 1.4710
Mg 4.7322 2.1803 1.4710
Mg 4.7322 6.5409 1.4710
W 0.0000 4.3606 0.0000
W 3.1548 0.0000 0.0000

***

Record 4
5
Lattice="5.8569 0.0000 0.0000 0.0000 5.8569 0.0000 0.0000 0.0000 5.8569" Properties=species:S:1:pos:R:3 comment="Ca3YMg, optimized geometry, DFT GGA-PBEsol" e_tot_ry_per_atom=-0.18341 spacegroup="Pm-3m, No. 221" ef_ev_per_atom=0.492 dos_at_fermi_per_ev_cell=9.47 pbc="T T T"
Ca 0.0000 0.0000 2.9285
Ca 0.0000 2.9285 0.0000
Ca 2.9285 0.0000 0.0000
Y 2.9285 2.9285 2.9285
Mg 0.0000 0.0000 0.0000

***

Record 5
4
Lattice="3.4803 0.0000 0.0000 0.0000 5.7593 0.0000 -0.8179 0.0000 6.4768" Properties=species:S:1:pos:R:3 comment="Ca2YMg, optimized geometry, DFT GGA-PBEsol" e_tot_ry_per_atom=-0.22820 spacegroup="P2/m, No. 10" ef_ev_per_atom=0.097 dos_at_fermi_per_ev_cell=4.86 pbc="T T T"
Ca 0.5374 0.0000 1.6345
Ca 2.1250 0.0000 4.8423
Y 1.7401 2.8797 0.0000
Mg -0.4089 2.8797 3.2384

***

Record 6
8
Lattice="12.1147 0.0000 0.0000 0.0000 3.5015 0.0000 -1.9671 0.0000 5.3781" Properties=species:S:1:pos:R:3 comment="CaYMg2, optimized geometry, DFT GGA-PBEsol" e_tot_ry_per_atom=-0.22867 spacegroup="Cm, No. 8" ef_ev_per_atom=-0.014 dos_at_fermi_per_ev_cell=8.72 pbc="T T T"
Ca 0.0000 0.0000 0.0000
Ca 6.0573 1.7508 0.0000
Y 2.7860 1.7508 1.8852
Y 8.8433 0.0000 1.8852
Mg -0.5917 1.7508 2.8089
Mg 1.3514 0.0000 4.4480
Mg 5.4657 0.0000 2.8089
Mg 7.4088 1.7508 4.4480

***

Record 7
4
Lattice="3.7356 0.0000 0.0000 0.0000 3.7356 0.0000 0.0000 0.0000 9.4815" Properties=species:S:1:pos:R:3 comment="Ca2YMg, optimized geometry, DFT GGA-PBEsol" e_tot_ry_per_atom=-0.23497 spacegroup="P4mm, No. 99" ef_ev_per_atom=0.005 dos_at_fermi_per_ev_cell=5.53 pbc="T T T"
Ca 0.0000 0.0000 0.0000
Ca 1.8678 1.8678 2.8962
Y 1.8678 1.8678 6.8601
Mg 0.0000 0.0000 4.9805

***

Record 8
6
Lattice="0.0000 4.2869 4.2869 4.2869 0.0000 4.2869 4.2869 4.2869 0.0000" Properties=species:S:1:pos:R:3 comment="CaYMg4, optimized geometry, DFT GGA-PBEsol" e_tot_ry_per_atom=-0.20035 spacegroup="F-43m, No. 216" ef_ev_per_atom=-0.089 dos_at_fermi_per_ev_cell=4.49 pbc="T T T"
Ca 0.0000 0.0000 0.0000
Y 6.4303 6.4303 6.4303
Mg 3.2219 3.2219 3.2219
Mg 5.3519 5.3519 3.2219
Mg 5.3519 3.2219 5.3519
Mg 3.2219 5.3519 5.3519

***

Record 9
8
Lattice="7.0538 0.0000 0.0000 0.0000 11.4068 0.0000 -1.1706 0.0000 3.2369" Properties=species:S:1:pos:R:3 comment="Ca2YMg, optimized geometry, DFT GGA-PBEsol" e_tot_ry_per_atom=-0.22723 spacegroup="C2/m, No. 12" ef_ev_per_atom=0.110 dos_at_fermi_per_ev_cell=12.14 pbc="T T T"
Ca 1.7635 2.8517 0.0000
Ca 1.7635 8.5551 0.0000
Ca 5.2904 2.8517 0.0000
Ca 5.2904 8.5551 0.0000
Y -0.5853 0.0000 1.6184
Y 2.9416 5.7034 1.6184
Mg -0.5853 5.7034 1.6184
Mg 2.9416 0.0000 1.6184

***

Record 10
4
Lattice="5.4538 0.0000 0.0000 0.0000 5.4538 0.0000 0.0000 0.0000 3.7886" Properties=species:S:1:pos:R:3 comment="CaYMg2, optimized geometry, DFT GGA-PBEsol" e_tot_ry_per_atom=-0.23416 spacegroup="P4/mmm, No. 123" ef_ev_per_atom=-0.088 dos_at_fermi_per_ev_cell=3.34 pbc="T T T"
Ca 0.0000 0.0000 0.0000
Y 2.7269 2.7269 0.0000
Mg 0.0000 2.7269 1.8943
Mg 2.7269 0.0000 1.8943